(1)
# Tb6DyZn

A relaxed Tb6DyZn crystal (PBE-GGA, Alexandria).

Uncorrected energy (eV/atom): -4.17
Space-group type: R-3
ΔH_f (0 K) (meV per atom): 41

Lattice parameters (Å, degrees): 9.2715 8.4385 6.2710 47.69 42.28 56.66
Positions (direct):
1 Tb 0.0437 0.4250 0.7681
2 Tb 0.7634 0.9566 0.7046
3 Tb 0.5754 0.2368 0.1443
4 Tb 0.2366 0.0434 0.2954
5 Tb 0.9563 0.5750 0.2319
6 Tb 0.4246 0.7632 0.8557
7 Dy 0.5000 0.5000 0.5000
8 Zn 0.0000 0.0000 0.0000


(2)
# Tb2DyZn

A relaxed Tb2DyZn crystal (PBE-GGA, Alexandria).

Uncorrected energy (eV/atom): -3.84
ΔE to the lowest computed polymorph (meV/atom): 108
Space-group type: R3m
ΔH_f (0 K) (meV per atom): -52

Lattice parameters (Å, degrees): 3.5993 3.5993 10.4525 80.09 80.09 60.00
Positions (direct):
1 Tb 0.0726 0.0726 0.7821
2 Tb 0.2608 0.2608 0.2177
3 Dy 0.5003 0.5003 0.4991
4 Zn 0.6663 0.6663 0.0011


(3)
# TbDy2Zn3

A relaxed TbDy2Zn3 crystal (PBE-GGA, Alexandria).

Uncorrected energy (eV/atom): -3.28
Space-group type: P-3m1
ΔH_f (0 K) (meV per atom): -339

Lattice parameters (Å, degrees): 5.0554 5.0554 6.1865 90.00 90.00 120.00
Positions (direct):
1 Tb 0.0000 0.0000 0.0000
2 Dy 0.6667 0.3333 0.3346
3 Dy 0.3333 0.6667 0.6654
4 Zn 0.0000 0.0000 0.5000
5 Zn 0.6667 0.3333 0.8337
6 Zn 0.3333 0.6667 0.1663


(4)
# Tb2Dy3Zn3

A relaxed Tb2Dy3Zn3 crystal (PBE-GGA, Alexandria).

Uncorrected energy (eV/atom): -3.61
Space-group type: Immm
ΔH_f (0 K) (meV per atom): -247

Lattice parameters (Å, degrees): 3.6106 5.1663 11.1739 103.37 99.30 90.00
Positions (direct):
1 Tb 0.7286 0.2286 0.4573
2 Tb 0.2714 0.7714 0.5427
3 Dy 0.6176 0.6176 0.2352
4 Dy 0.3824 0.3824 0.7648
5 Dy 0.5000 0.0000 0.0000
6 Zn 0.1146 0.1146 0.2292
7 Zn 0.0000 0.5000 0.0000
8 Zn 0.8854 0.8854 0.7708